5
Lattice="-3.618 -0.135 4.331 -0.022 -5.642 -0.194 4.333 -0.141 3.615" Properties=species:S:1:pos:R:3 comment="NdGa4 (PBE-GGA, optimized geometry)" mass_density_g_cm3=3.91 sg="No. 221" pbc="T T T"
Nd 0.347 -2.959 3.876
Ga 2.156 -2.892 1.711
Ga -1.820 -2.888 2.068
Ga 0.358 -0.138 3.973
Ga 0.000 0.000 0.000


14
Lattice="-2.645 2.582 -5.172 3.511 -5.999 -4.791 -5.599 -5.114 4.217" Properties=species:S:1:pos:R:3 comment="Nd5Ga2 (PBE-GGA, optimized geometry)" mass_density_g_cm3=6.66 sg="No. 15" pbc="T T T"
Ga -1.948 -0.483 -1.654
Ga -3.526 -6.039 0.286
Ga -1.206 -2.492 -6.032
Ga -2.785 -8.049 -4.092
Nd -1.299 -5.554 -5.360
Nd -1.234 -6.410 -1.913
Nd -0.170 -2.897 -2.430
Nd -4.563 -5.634 -3.315
Nd -0.792 0.131 -4.463
Nd -0.334 -4.022 -8.580
Nd -3.434 -2.977 -0.386
Nd -3.499 -2.121 -3.833
Nd 1.659 -3.547 -5.499
Nd -4.398 -4.509 2.834


6
Lattice="4.175 0.000 -0.938 -0.211 4.170 -0.938 -0.390 -0.410 8.023" Properties=species:S:1:pos:R:3 comment="NdGa2 (PBE-GGA, optimized geometry)" mass_density_g_cm3=6.90 sg="No. 141" pbc="T T T"
Nd 2.884 0.837 3.073
Nd 0.000 0.000 0.000
Ga 2.247 2.363 0.239
Ga 0.955 3.201 4.251
Ga 0.426 2.644 1.896
Ga 1.328 1.396 5.907


11
Lattice="-3.589 5.520 -2.740 -5.654 -1.524 4.071 2.436 4.276 5.162" Properties=species:S:1:pos:R:3 comment="Nd8Ga3 (PBE-GGA, optimized geometry)" mass_density_g_cm3=6.24 sg="No. 148" pbc="T T T"
Ga -1.609 1.376 4.616
Ga -4.621 1.998 0.666
Ga -0.576 4.898 1.211
Nd -2.396 2.912 2.286
Nd 0.072 5.237 4.188
Nd -4.636 0.916 4.758
Nd -2.170 7.356 1.735
Nd -2.258 3.350 6.746
Nd -4.548 4.922 -0.253
Nd -4.410 5.360 4.207
Nd -6.878 3.035 2.305


N(E_F) (computed, states/eV per cell): 6.05, 18.31, 3.61, 18.44
Total moment (computed, Bohr magnetons per cell): 0.0, 0.0, 0.0, 0.0
Total DFT energy (no corrections) (computed, eV/cell): -13.3, -64.0, -25.7, -48.5